# PBE AgBr, optimized geometry
# Energy relative to the elements, uncorrected (eV/atom): -0.24
# VASP energy (eV/atom): -2.505
data_AgBr
_chemical_formula_sum 'Ag2 Br2'
_symmetry_space_group_name_H-M 'P m m a'
_symmetry_Int_Tables_number 51
_cell_length_a 3.984
_cell_length_b 3.837
_cell_length_c 7.358
_cell_angle_alpha 90.00
_cell_angle_beta 90.00
_cell_angle_gamma 90.00
loop_
_symmetry_equiv_pos_as_xyz
'x,y,z'
'-x,-y,-z'
'-x+1/2,-y,z'
'x+1/2,y,-z'
'x+1/2,-y,-z'
'-x+1/2,y,z'
'-x,y,-z'
'x,-y,z'
loop_
_atom_site_label
_atom_site_type_symbol
_atom_site_fract_x
_atom_site_fract_y
_atom_site_fract_z
Ag1 Ag 0.250 0.000 0.149
Br1 Br 0.250 0.500 0.764

# PBE PdRhPb, optimized geometry
# Excess energy over the best structure of this formula in the dataset (eV/f.u.): 0.154
# ΔE_f (eV per atom): 0.063
# VASP energy (eV/atom): -5.354
data_PdRhPb
_chemical_formula_sum 'Pd2 Rh2 Pb2'
_symmetry_space_group_name_H-M 'I 4 m m'
_symmetry_Int_Tables_number 107
_symmetry_space_group_name_Hall 'I 4 -2'
_cell_length_a 3.460
_cell_length_b 3.460
_cell_length_c 8.973
_cell_angle_alpha 90.00
_cell_angle_beta 90.00
_cell_angle_gamma 90.00
loop_
_atom_site_label
_atom_site_type_symbol
_atom_site_fract_x
_atom_site_fract_y
_atom_site_fract_z
Pd1 Pd 0.000 0.000 0.000
Rh1 Rh 0.000 0.000 0.330
Pb1 Pb 0.000 0.000 0.669

# PBE OsSe, optimized geometry
# Energy relative to the elements, uncorrected (eV/atom): 0.71
# VASP energy (eV/atom): -6.645
data_OsSe
_chemical_formula_sum 'Os2 Se2'
_symmetry_space_group_name_H-M 'P 63 m c'
_symmetry_Int_Tables_number 186
_symmetry_space_group_name_Hall 'P 6c -2c'
_cell_length_a 3.6704
_cell_length_b 3.6704
_cell_length_c 7.0641
_cell_angle_alpha 90.00
_cell_angle_beta 90.00
_cell_angle_gamma 120.00
loop_
_atom_site_label
_atom_site_type_symbol
_atom_site_fract_x
_atom_site_fract_y
_atom_site_fract_z
Os1 Os 0.3333 0.6667 0.0000
Se1 Se 0.3333 0.6667 0.6511

# PBE CaEuNbZnO6, optimized geometry
# Energy relative to the elements, uncorrected (eV/atom): -2.36
# VASP energy (eV/atom): -7.695
data_CaEuNbZnO6
_chemical_formula_sum 'Ca4 Eu4 Nb4 Zn4 O24'
_symmetry_space_group_name_H-M 'F -4 3 m'
_symmetry_Int_Tables_number 216
_symmetry_space_group_name_Hall 'F -4 2 3'
_cell_length_a 8.005
_cell_length_b 8.005
_cell_length_c 8.005
_cell_angle_alpha 90.00
_cell_angle_beta 90.00
_cell_angle_gamma 90.00
loop_
_atom_site_label
_atom_site_type_symbol
_atom_site_fract_x
_atom_site_fract_y
_atom_site_fract_z
Ca1 Ca 0.000 0.000 0.000
Eu1 Eu 0.000 0.000 0.500
Nb1 Nb 0.250 0.250 0.250
Zn1 Zn 0.250 0.250 0.750
O1 O 0.002 0.250 0.250

# PBE NdTlAgSn, optimized geometry
# ΔE_f (eV per atom): -0.211
# VASP energy (eV/atom): -3.708
data_NdTlAgSn
_chemical_formula_sum 'Nd4 Tl4 Ag4 Sn4'
_symmetry_space_group_name_H-M 'F -4 3 m'
_symmetry_Int_Tables_number 216
_symmetry_space_group_name_Hall 'F -4 2 3'
_cell_length_a 7.457
_cell_length_b 7.457
_cell_length_c 7.457
_cell_angle_alpha 90.00
_cell_angle_beta 90.00
_cell_angle_gamma 90.00
loop_
_atom_site_label
_atom_site_type_symbol
_atom_site_fract_x
_atom_site_fract_y
_atom_site_fract_z
Nd1 Nd 0.000 0.000 0.000
Tl1 Tl 0.250 0.250 0.750
Ag1 Ag 0.250 0.250 0.250
Sn1 Sn 0.000 0.000 0.500

# PBE Cu3SiTe, optimized geometry
# Excess energy over the best structure of this formula in the dataset (eV/f.u.): 2.716
# Energy relative to the elements, uncorrected (eV/atom): 1.03
# VASP energy (eV/atom): -3.145
data_Cu3SiTe
_chemical_formula_sum 'Cu3 Si1 Te1'
_symmetry_space_group_name_H-M 'P m -3 m'
_symmetry_Int_Tables_number 221
_symmetry_space_group_name_Hall '-P 4 2 3'
_cell_length_a 4.854
_cell_length_b 4.854
_cell_length_c 4.854
_cell_angle_alpha 90.00
_cell_angle_beta 90.00
_cell_angle_gamma 90.00
loop_
_atom_site_label
_atom_site_type_symbol
_atom_site_fract_x
_atom_site_fract_y
_atom_site_fract_z
Cu1 Cu 0.000 0.000 0.500
Si1 Si 0.500 0.500 0.500
Te1 Te 0.000 0.000 0.000

# PBE AcNdN4, optimized geometry
# Energy relative to the elements, uncorrected (eV/atom): -0.69
# VASP energy (eV/atom): -7.724
data_AcNdN4
_chemical_formula_sum 'Ac2 Nd2 N8'
_symmetry_space_group_name_H-M 'C 1 2/m 1'
_symmetry_Int_Tables_number 12
_cell_length_a 7.189
_cell_length_b 3.774
_cell_length_c 7.513
_cell_angle_alpha 90.00
_cell_angle_beta 118.50
_cell_angle_gamma 90.00
loop_
_symmetry_equiv_pos_as_xyz
'x,y,z'
'-x,-y,-z'
'-x,y,-z'
'x,-y,z'
'x+1/2,y+1/2,z'
'-x+1/2,-y+1/2,-z'
'-x+1/2,y+1/2,-z'
'x+1/2,-y+1/2,z'
loop_
_atom_site_label
_atom_site_type_symbol
_atom_site_fract_x
_atom_site_fract_y
_atom_site_fract_z
Ac1 Ac 0.000 0.000 0.000
Nd1 Nd 0.000 0.000 0.500
N1 N 0.100 0.500 0.799
N2 N 0.107 0.500 0.326

# PBE TbAl7Ni2, optimized geometry
# ΔE_f (eV per atom): -0.197
# VASP energy (eV/atom): -4.436
data_TbAl7Ni2
_chemical_formula_sum 'Tb2 Al14 Ni4'
_symmetry_space_group_name_H-M 'C m m m'
_symmetry_Int_Tables_number 65
_symmetry_space_group_name_Hall '-C 2 2'
_cell_length_a 8.381
_cell_length_b 10.297
_cell_length_c 4.383
_cell_angle_alpha 90.00
_cell_angle_beta 90.00
_cell_angle_gamma 90.00
loop_
_atom_site_label
_atom_site_type_symbol
_atom_site_fract_x
_atom_site_fract_y
_atom_site_fract_z
Tb1 Tb 0.000 0.000 0.000
Al1 Al 0.000 0.324 0.000
Al2 Al 0.000 0.500 0.500
Al3 Al 0.227 0.127 0.500
Ni1 Ni 0.000 0.265 0.500

# PBE VCu3Pd, optimized geometry
# Excess energy over the best structure of this formula in the dataset (eV/f.u.): 0.000
# ΔE_f (eV per atom): 1.085
# VASP energy (eV/atom): -4.235
data_VCu3Pd
_chemical_formula_sum 'V1 Cu3 Pd1'
_symmetry_space_group_name_H-M 'P m -3 m'
_symmetry_Int_Tables_number 221
_symmetry_space_group_name_Hall '-P 4 2 3'
_cell_length_a 4.607
_cell_length_b 4.607
_cell_length_c 4.607
_cell_angle_alpha 90.00
_cell_angle_beta 90.00
_cell_angle_gamma 90.00
loop_
_atom_site_label
_atom_site_type_symbol
_atom_site_fract_x
_atom_site_fract_y
_atom_site_fract_z
V1 V 0.000 0.000 0.000
Cu1 Cu 0.000 0.500 0.500
Pd1 Pd 0.500 0.500 0.500

# PBE Sr2CdBiPd6, optimized geometry
# ΔE_f (eV per atom): -0.057
# VASP energy (eV/atom): -3.989
data_Sr2CdBiPd6
_chemical_formula_sum 'Sr8 Cd4 Bi4 Pd24'
_symmetry_space_group_name_H-M 'F m -3 m'
_symmetry_Int_Tables_number 225
_symmetry_space_group_name_Hall '-F 4 2 3'
_cell_length_a 10.186
_cell_length_b 10.186
_cell_length_c 10.186
_cell_angle_alpha 90.00
_cell_angle_beta 90.00
_cell_angle_gamma 90.00
loop_
_atom_site_label
_atom_site_type_symbol
_atom_site_fract_x
_atom_site_fract_y
_atom_site_fract_z
Sr1 Sr 0.250 0.250 0.250
Cd1 Cd 0.000 0.000 0.000
Bi1 Bi 0.000 0.000 0.500
Pd1 Pd 0.000 0.000 0.249

# PBE In2Pd5Au5, optimized geometry
# ΔE_f (eV per atom): -0.276
# VASP energy (eV/atom): -4.262
data_In2Pd5Au5
_chemical_formula_sum 'In4 Pd10 Au10'
_symmetry_space_group_name_H-M 'C 1 2/m 1'
_symmetry_Int_Tables_number 12
_cell_length_a 12.567
_cell_length_b 4.002
_cell_length_c 9.240
_cell_angle_alpha 90.00
_cell_angle_beta 117.35
_cell_angle_gamma 90.00
loop_
_symmetry_equiv_pos_as_xyz
'x,y,z'
'-x,-y,-z'
'-x,y,-z'
'x,-y,z'
'x+1/2,y+1/2,z'
'-x+1/2,-y+1/2,-z'
'-x+1/2,y+1/2,-z'
'x+1/2,-y+1/2,z'
loop_
_atom_site_label
_atom_site_type_symbol
_atom_site_fract_x
_atom_site_fract_y
_atom_site_fract_z
In1 In 0.082 0.000 0.255
Pd1 Pd 0.000 0.500 0.000
Pd2 Pd 0.082 0.500 0.750
Pd3 Pd 0.166 0.500 0.498
Au1 Au 0.000 0.000 0.500
Au2 Au 0.167 0.000 0.000
Au3 Au 0.248 0.000 0.745

# PBE Mg2Zn2Sn, optimized geometry
# ΔE_f (eV per atom): -0.050
# VASP energy (eV/atom): -1.998
data_Mg2Zn2Sn
_chemical_formula_sum 'Mg4 Zn4 Sn2'
_symmetry_space_group_name_H-M 'P 4/m b m'
_symmetry_Int_Tables_number 127
_symmetry_space_group_name_Hall '-P 4 2ab'
_cell_length_a 7.409
_cell_length_b 7.409
_cell_length_c 3.669
_cell_angle_alpha 90.00
_cell_angle_beta 90.00
_cell_angle_gamma 90.00
loop_
_atom_site_label
_atom_site_type_symbol
_atom_site_fract_x
_atom_site_fract_y
_atom_site_fract_z
Mg1 Mg 0.172 0.328 0.000
Zn1 Zn 0.122 0.622 0.500
Sn1 Sn 0.000 0.000 0.500

# PBE Li3Ga6Ru, optimized geometry
# ΔE_f (eV per atom): -0.173
# VASP energy (eV/atom): -3.491
data_Li3Ga6Ru
_chemical_formula_sum 'Li6 Ga12 Ru2'
_symmetry_space_group_name_H-M 'C 1 2/m 1'
_symmetry_Int_Tables_number 12
_cell_length_a 7.092
_cell_length_b 6.805
_cell_length_c 7.143
_cell_angle_alpha 90.00
_cell_angle_beta 101.49
_cell_angle_gamma 90.00
loop_
_symmetry_equiv_pos_as_xyz
'x,y,z'
'-x,-y,-z'
'-x,y,-z'
'x,-y,z'
'x+1/2,y+1/2,z'
'-x+1/2,-y+1/2,-z'
'-x+1/2,y+1/2,-z'
'x+1/2,-y+1/2,z'
loop_
_atom_site_label
_atom_site_type_symbol
_atom_site_fract_x
_atom_site_fract_y
_atom_site_fract_z
Li1 Li 0.000 0.000 0.000
Li2 Li 0.230 0.000 0.748
Ga1 Ga 0.117 0.500 0.869
Ga2 Ga 0.118 0.183 0.358
Ru1 Ru 0.000 0.500 0.500

# PBE Li6HNCl2, optimized geometry
# VASP energy (eV/atom): -3.572
data_Li6HNCl2
_chemical_formula_sum 'Li12 H2 N2 Cl4'
_symmetry_space_group_name_H-M 'C 1 2/m 1'
_symmetry_Int_Tables_number 12
_cell_length_a 11.574
_cell_length_b 5.413
_cell_length_c 5.224
_cell_angle_alpha 90.00
_cell_angle_beta 116.58
_cell_angle_gamma 90.00
loop_
_symmetry_equiv_pos_as_xyz
'x,y,z'
'-x,-y,-z'
'-x,y,-z'
'x,-y,z'
'x+1/2,y+1/2,z'
'-x+1/2,-y+1/2,-z'
'-x+1/2,y+1/2,-z'
'x+1/2,-y+1/2,z'
loop_
_atom_site_label
_atom_site_type_symbol
_atom_site_fract_x
_atom_site_fract_y
_atom_site_fract_z
Li1 Li 0.063 0.245 0.319
Li2 Li 0.172 0.000 0.799
H1 H 0.000 0.500 0.000
N1 N 0.000 0.000 0.500
Cl1 Cl 0.242 0.500 0.705